(1)
Material: NaInIN2
Method: DFT, PBEsol
State: relaxed

Results
E above lowest polymorph   0.6793 eV per atom
Energy   -15.6 eV per cell
E_form (uncorrected)   1.519 eV/atom

extended XYZ file:
```
5
Lattice="-0.060 -2.151 4.250 -3.418 -2.942 -1.538 4.112 -3.802 -1.866" Properties=species:S:1:pos:R:3 pbc="T T T"
I 2.056 -1.901 -0.933
Na 0.000 0.000 0.000
N -1.709 -1.471 -0.769
N -0.030 -1.076 2.125
In 0.317 -4.447 0.423
```



(2)
Material: NaInIN2
Method: DFT, PBEsol
State: relaxed

Results
E above lowest polymorph   0.0000 eV per atom
Energy   -19.0 eV per cell
E_form (uncorrected)   0.840 eV/atom

extended XYZ file:
```
5
Lattice="4.312 0.000 0.000 0.000 4.312 0.000 0.000 0.000 6.288" Properties=species:S:1:pos:R:3 pbc="T T T"
I 0.000 0.000 3.144
Na 2.156 2.156 3.144
N 0.000 2.156 0.000
N 2.156 0.000 0.000
In 0.000 0.000 0.000
```



(3)
Material: NaInI2N
Method: DFT, PBEsol
State: relaxed

Results
Energy   -14.0 eV per cell
E_form (uncorrected)   0.486 eV/atom

extended XYZ file:
```
5
Lattice="-1.729 -4.152 1.065 5.145 -2.533 -1.525 1.953 0.615 5.569" Properties=species:S:1:pos:R:3 pbc="T T T"
I 0.977 0.308 2.785
I 2.572 -1.266 -0.762
Na 0.000 0.000 0.000
N -0.864 -2.076 0.532
In 2.685 -3.035 2.555
```



(4)
Material: InOsI2N
Method: DFT, PBEsol
State: relaxed

Results
E above lowest polymorph   1.6033 eV per atom
Energy   -18.1 eV per cell
E_form (uncorrected)   1.841 eV/atom

extended XYZ file:
```
5
Lattice="3.885 0.000 0.000 0.000 5.809 0.000 0.000 0.000 5.809" Properties=species:S:1:pos:R:3 pbc="T T T"
I 0.000 0.000 2.905
I 0.000 2.905 0.000
N 1.943 0.000 0.000
Os 1.943 2.905 2.905
In 0.000 0.000 0.000
```



(5)
Material: InOsI2N
Method: DFT, PBEsol
State: relaxed

Results
E above lowest polymorph   0.0000 eV per atom
Energy   -26.1 eV per cell
E_form (uncorrected)   0.237 eV/atom

extended XYZ file:
```
5
Lattice="-2.400 2.470 -1.464 -1.948 -3.961 -3.490 -3.853 -1.476 3.826" Properties=species:S:1:pos:R:3 pbc="T T T"
I -1.927 -0.738 1.913
I -0.974 -1.981 -1.745
N -1.200 1.235 -0.732
Os 0.000 0.000 0.000
In -4.101 -1.484 -0.564
```



(6)
Material: InPtIN2
Method: DFT, PBEsol
State: relaxed

Results
Energy   -20.4 eV per cell
E_form (uncorrected)   1.674 eV/atom

extended XYZ file:
```
5
Lattice="4.059 0.000 0.000 0.000 4.059 0.000 0.000 0.000 6.407" Properties=species:S:1:pos:R:3 pbc="T T T"
I 0.000 0.000 3.204
N 0.000 2.029 0.000
N 2.029 0.000 0.000
Pt 2.029 2.029 3.204
In 0.000 0.000 0.000
```